DFT (GGA-PBE) results for a relaxed structure of Sm2YAu.

Lattice parameters (Å, degrees): 6.356 6.356 8.538 90.00 90.00 136.96
Atoms (fractional coordinates):
1 Sm 0.141 0.859 0.543
2 Sm 0.141 0.859 0.957
3 Sm 0.859 0.141 0.043
4 Sm 0.859 0.141 0.457
5 Y 0.452 0.548 0.750
6 Y 0.548 0.452 0.250
7 Au 0.278 0.722 0.250
8 Au 0.722 0.278 0.750

Calculated values
mass density = 8.3 g/cm³
offset from the most stable computed form = 43.4 meV/atom
density of states at the Fermi level = 8.24 states/eV/cell
energy of formation = -0.376 eV per atom
energy = -5.17 eV/atom



DFT (GGA-PBE) results for a relaxed structure of SmYAu.

Lattice parameters (Å, degrees): 5.032 5.032 5.032 60.00 60.00 60.00
Atoms (fractional coordinates):
1 Sm 0.000 0.000 0.000
2 Y 0.500 0.500 0.500
3 Au 0.250 0.250 0.250

Calculated values
mass density = 8.0 g/cm³
offset from the most stable computed form = 105.5 meV/atom
density of states at the Fermi level = 4.13 states/eV/cell
energy of formation = -0.416 eV per atom
energy = -5.24 eV/atom



DFT (GGA-PBE) results for a relaxed structure of Sm5YAu6.

Lattice parameters (Å, degrees): 9.005 9.005 9.005 146.44 132.42 59.47
Atoms (fractional coordinates):
1 Sm 0.000 0.000 0.000
2 Sm 0.166 0.666 0.500
3 Sm 0.332 0.332 0.000
4 Sm 0.668 0.668 0.000
5 Sm 0.834 0.334 0.500
6 Y 0.500 0.000 0.500
7 Au 0.090 0.836 0.254
8 Au 0.258 0.500 0.758
9 Au 0.418 0.164 0.254
10 Au 0.582 0.836 0.746
11 Au 0.742 0.500 0.242
12 Au 0.910 0.164 0.746

Calculated values
mass density = 11.4 g/cm³
density of states at the Fermi level = 7.81 states/eV/cell
energy of formation = -0.806 eV per atom
energy = -4.95 eV/atom



DFT (GGA-PBE) results for a relaxed structure of Sm2YAu2.

Lattice parameters (Å, degrees): 8.300 8.300 3.856 90.00 90.00 90.00
Atoms (fractional coordinates):
1 Sm 0.165 0.335 0.000
2 Sm 0.335 0.835 0.000
3 Sm 0.665 0.165 0.000
4 Sm 0.835 0.665 0.000
5 Y 0.000 0.000 0.500
6 Y 0.500 0.500 0.500
7 Au 0.131 0.631 0.500
8 Au 0.369 0.131 0.500
9 Au 0.631 0.869 0.500
10 Au 0.869 0.369 0.500

Calculated values
mass density = 9.8 g/cm³
density of states at the Fermi level = 10.91 states/eV/cell
energy of formation = -0.674 eV per atom
energy = -5.16 eV/atom



DFT (GGA-PBE) results for a relaxed structure of SmY4Au2.

Lattice parameters (Å, degrees): 10.531 10.531 10.531 27.19 27.19 27.19
Atoms (fractional coordinates):
1 Sm 0.000 0.000 0.000
2 Y 0.201 0.201 0.201
3 Y 0.398 0.398 0.398
4 Y 0.602 0.602 0.602
5 Y 0.799 0.799 0.799
6 Au 0.102 0.102 0.102
7 Au 0.898 0.898 0.898

Calculated values
mass density = 6.9 g/cm³
density of states at the Fermi level = 10.52 states/eV/cell
energy of formation = -0.258 eV per atom
energy = -5.56 eV/atom



DFT (GGA-PBE) results for a relaxed structure of SmYAu.

Lattice parameters (Å, degrees): 6.758 6.758 6.758 148.76 148.76 44.76
Atoms (fractional coordinates):
1 Sm 0.000 0.000 0.000
2 Y 0.288 0.288 0.000
3 Au 0.652 0.652 0.000

Calculated values
mass density = 8.8 g/cm³
offset from the most stable computed form = 0.0 meV/atom
density of states at the Fermi level = 3.37 states/eV/cell
energy of formation = -0.522 eV per atom
energy = -5.34 eV/atom



DFT (GGA-PBE) results for a relaxed structure of Sm4Y3Au4.

Lattice parameters (Å, degrees): 9.978 9.978 9.978 157.92 125.13 59.86
Atoms (fractional coordinates):
1 Sm 0.024 0.838 0.186
2 Sm 0.348 0.162 0.186
3 Sm 0.652 0.838 0.814
4 Sm 0.976 0.162 0.814
5 Y 0.000 0.500 0.500
6 Y 0.399 0.399 0.000
7 Y 0.601 0.601 0.000
8 Au 0.258 0.758 0.500
9 Au 0.317 0.000 0.317
10 Au 0.683 0.000 0.683
11 Au 0.742 0.242 0.500

Calculated values
mass density = 9.1 g/cm³
density of states at the Fermi level = 11.67 states/eV/cell
energy of formation = -0.540 eV per atom
energy = -5.21 eV/atom



DFT (GGA-PBE) results for a relaxed structure of Sm2YAu.

Lattice parameters (Å, degrees): 3.705 3.705 8.511 90.00 90.00 90.00
Atoms (fractional coordinates):
1 Sm 0.000 0.000 0.209
2 Sm 0.000 0.000 0.791
3 Y 0.500 0.500 0.500
4 Au 0.500 0.500 0.000

Calculated values
mass density = 8.3 g/cm³
offset from the most stable computed form = 57.8 meV/atom
density of states at the Fermi level = 5.98 states/eV/cell
energy of formation = -0.361 eV per atom
energy = -5.16 eV/atom



DFT (GGA-PBE) results for a relaxed structure of SmYAu2.

Lattice parameters (Å, degrees): 7.925 7.925 7.925 29.69 29.69 29.69
Atoms (fractional coordinates):
1 Sm 0.000 0.000 0.000
2 Y 0.169 0.169 0.169
3 Au 0.421 0.421 0.421
4 Au 0.582 0.582 0.582

Calculated values
mass density = 9.7 g/cm³
density of states at the Fermi level = 2.95 states/eV/cell
energy of formation = -0.707 eV per atom
energy = -5.14 eV/atom



DFT (GGA-PBE) results for a relaxed structure of SmYAu.

Lattice parameters (Å, degrees): 8.129 8.129 8.129 36.20 36.20 36.20
Atoms (fractional coordinates):
1 Sm 0.129 0.129 0.129
2 Sm 0.871 0.871 0.871
3 Y 0.292 0.292 0.292
4 Y 0.708 0.708 0.708
5 Au 0.424 0.424 0.424
6 Au 0.576 0.576 0.576

Calculated values
mass density = 8.6 g/cm³
offset from the most stable computed form = 61.4 meV/atom
density of states at the Fermi level = 4.35 states/eV/cell
energy of formation = -0.460 eV per atom
energy = -5.28 eV/atom



DFT (GGA-PBE) results for a relaxed structure of SmYAu2.

Lattice parameters (Å, degrees): 4.733 5.880 5.880 37.47 90.00 90.00
Atoms (fractional coordinates):
1 Sm 0.000 0.000 0.000
2 Y 0.500 0.277 0.277
3 Au 0.000 0.727 0.727
4 Au 0.500 0.552 0.552

Calculated values
mass density = 10.6 g/cm³
density of states at the Fermi level = 2.52 states/eV/cell
energy of formation = -0.855 eV per atom
energy = -5.29 eV/atom



DFT (GGA-PBE) results for a relaxed structure of SmYAu2.

Lattice parameters (Å, degrees): 7.244 7.244 7.244 34.48 34.48 34.48
Atoms (fractional coordinates):
1 Sm 0.000 0.000 0.000
2 Y 0.500 0.500 0.500
3 Au 0.247 0.247 0.247
4 Au 0.753 0.753 0.753

Calculated values
mass density = 9.7 g/cm³
density of states at the Fermi level = 3.66 states/eV/cell
energy of formation = -0.707 eV per atom
energy = -5.14 eV/atom



DFT (GGA-PBE) results for a relaxed structure of SmY2Au4.

Lattice parameters (Å, degrees): 6.157 6.157 6.157 109.05 109.05 110.31
Atoms (fractional coordinates):
1 Sm 0.000 0.000 0.000
2 Y 0.000 0.500 0.500
3 Y 0.500 0.000 0.500
4 Au 0.000 0.000 0.500
5 Au 0.000 0.500 0.000
6 Au 0.500 0.000 0.000
7 Au 0.500 0.500 0.500

Calculated values
mass density = 10.3 g/cm³
density of states at the Fermi level = 3.87 states/eV/cell
energy of formation = -0.650 eV per atom
energy = -5.04 eV/atom



DFT (GGA-PBE) results for a relaxed structure of SmYAu.

Lattice parameters (Å, degrees): 4.941 4.941 3.898 90.00 90.00 120.00
Atoms (fractional coordinates):
1 Sm 0.000 0.000 0.000
2 Y 0.667 0.333 0.467
3 Au 0.333 0.667 0.702

Calculated values
mass density = 8.8 g/cm³
offset from the most stable computed form = 125.5 meV/atom
density of states at the Fermi level = 2.24 states/eV/cell
energy of formation = -0.396 eV per atom
energy = -5.22 eV/atom



DFT (GGA-PBE) results for a relaxed structure of Sm2YAu.

Lattice parameters (Å, degrees): 10.277 10.277 10.277 21.12 21.12 21.12
Atoms (fractional coordinates):
1 Sm 0.000 0.000 0.000
2 Sm 0.192 0.192 0.192
3 Y 0.429 0.429 0.429
4 Au 0.596 0.596 0.596

Calculated values
mass density = 7.9 g/cm³
offset from the most stable computed form = 167.0 meV/atom
density of states at the Fermi level = 5.30 states/eV/cell
energy of formation = -0.252 eV per atom
energy = -5.05 eV/atom



DFT (GGA-PBE) results for a relaxed structure of Sm3Y3Au4.

Lattice parameters (Å, degrees): 3.846 8.271 8.271 90.87 90.00 90.00
Atoms (fractional coordinates):
1 Sm 0.000 0.000 0.000
2 Sm 0.000 0.177 0.506
3 Sm 0.000 0.506 0.177
4 Y 0.000 0.672 0.672
5 Y 0.500 0.339 0.841
6 Y 0.500 0.841 0.339
7 Au 0.500 0.208 0.208
8 Au 0.500 0.473 0.473
9 Au 0.500 0.704 0.966
10 Au 0.500 0.966 0.704

Calculated values
mass density = 9.5 g/cm³
density of states at the Fermi level = 11.52 states/eV/cell
energy of formation = -0.682 eV per atom
energy = -5.35 eV/atom



DFT (GGA-PBE) results for a relaxed structure of Sm2YAu6.

Lattice parameters (Å, degrees): 8.645 8.645 5.279 98.72 98.72 144.16
Atoms (fractional coordinates):
1 Sm 0.165 0.835 0.000
2 Sm 0.835 0.165 0.000
3 Y 0.500 0.500 0.500
4 Au 0.158 0.158 0.827
5 Au 0.173 0.502 0.667
6 Au 0.498 0.827 0.333
7 Au 0.502 0.173 0.667
8 Au 0.827 0.498 0.333
9 Au 0.842 0.842 0.173

Calculated values
mass density = 13.0 g/cm³
density of states at the Fermi level = 4.97 states/eV/cell
energy of formation = -0.762 eV per atom
energy = -4.71 eV/atom



DFT (GGA-PBE) results for a relaxed structure of SmYZnAu.

Lattice parameters (Å, degrees): 3.647 3.647 7.159 90.00 90.00 90.00
Atoms (fractional coordinates):
1 Sm 0.000 0.000 0.000
2 Y 0.000 0.000 0.504
3 Zn 0.500 0.500 0.744
4 Au 0.500 0.500 0.263

Calculated values
mass density = 8.8 g/cm³
offset from the most stable computed form = 0.0 meV/atom
density of states at the Fermi level = 3.42 states/eV/cell
energy of formation = -0.586 eV per atom
energy = -4.52 eV/atom



DFT (GGA-PBE) results for a relaxed structure of SmYZnAu.

Lattice parameters (Å, degrees): 5.136 5.136 5.136 60.00 60.00 60.00
Atoms (fractional coordinates):
1 Sm 0.000 0.000 0.000
2 Y 0.500 0.500 0.500
3 Zn 0.250 0.250 0.250
4 Au 0.750 0.750 0.750

Calculated values
mass density = 8.7 g/cm³
offset from the most stable computed form = 12.4 meV/atom
density of states at the Fermi level = 2.48 states/eV/cell
energy of formation = -0.573 eV per atom
energy = -4.51 eV/atom



DFT (GGA-PBE) results for a relaxed structure of SmZn2Au.

Lattice parameters (Å, degrees): 4.266 4.266 4.604 90.00 90.00 90.00
Atoms (fractional coordinates):
1 Sm 0.000 0.000 0.000
2 Zn 0.000 0.500 0.500
3 Zn 0.500 0.000 0.500
4 Au 0.500 0.500 0.000

Calculated values
mass density = 9.5 g/cm³
density of states at the Fermi level = 2.77 states/eV/cell
energy of formation = -0.344 eV per atom
energy = -2.98 eV/atom



DFT (GGA-PBE) results for a relaxed structure of Sm3Zn6Au5.

Lattice parameters (Å, degrees): 8.379 8.379 8.379 149.36 110.47 77.87
Atoms (fractional coordinates):
1 Sm 0.000 0.000 0.000
2 Sm 0.291 0.291 0.000
3 Sm 0.709 0.709 0.000
4 Zn 0.154 0.863 0.291
5 Zn 0.327 0.500 0.827
6 Zn 0.427 0.137 0.291
7 Zn 0.573 0.863 0.709
8 Zn 0.673 0.500 0.173
9 Zn 0.846 0.137 0.709
10 Au 0.008 0.654 0.353
11 Au 0.301 0.654 0.647
12 Au 0.500 0.000 0.500
13 Au 0.699 0.346 0.353
14 Au 0.992 0.346 0.647

Calculated values
mass density = 11.0 g/cm³
density of states at the Fermi level = 5.72 states/eV/cell
energy of formation = -0.558 eV per atom
energy = -3.29 eV/atom



DFT (GGA-PBE) results for a relaxed structure of SmZn3Au2.

Lattice parameters (Å, degrees): 7.432 7.432 8.596 116.39 116.39 33.32
Atoms (fractional coordinates):
1 Sm 0.139 0.139 0.020
2 Sm 0.861 0.861 0.980
3 Zn 0.052 0.052 0.392
4 Zn 0.295 0.295 0.482
5 Zn 0.406 0.406 0.307
6 Zn 0.594 0.594 0.693
7 Zn 0.705 0.705 0.518
8 Zn 0.948 0.948 0.608
9 Au 0.217 0.217 0.731
10 Au 0.453 0.453 0.813
11 Au 0.547 0.547 0.187
12 Au 0.783 0.783 0.269

Calculated values
mass density = 10.6 g/cm³
density of states at the Fermi level = 5.71 states/eV/cell
energy of formation = -0.431 eV per atom
energy = -2.95 eV/atom



DFT (GGA-PBE) results for a relaxed structure of Sm3Zn2Au8.

Lattice parameters (Å, degrees): 11.888 11.888 11.888 26.80 26.80 26.80
Atoms (fractional coordinates):
1 Sm 0.000 0.000 0.000
2 Sm 0.241 0.241 0.241
3 Sm 0.759 0.759 0.759
4 Zn 0.399 0.399 0.399
5 Zn 0.601 0.601 0.601
6 Au 0.199 0.706 0.706
7 Au 0.294 0.294 0.801
8 Au 0.294 0.801 0.294
9 Au 0.325 0.325 0.325
10 Au 0.675 0.675 0.675
11 Au 0.706 0.199 0.706
12 Au 0.706 0.706 0.199
13 Au 0.801 0.294 0.294

Calculated values
mass density = 11.9 g/cm³
density of states at the Fermi level = 4.04 states/eV/cell
energy of formation = -0.394 eV per atom
energy = -3.70 eV/atom



DFT (GGA-PBE) results for a relaxed structure of SmZn4Au4.

Lattice parameters (Å, degrees): 6.458 6.458 6.458 97.95 97.95 136.32
Atoms (fractional coordinates):
1 Sm 0.000 0.000 0.000
2 Zn 0.274 0.382 0.656
3 Zn 0.382 0.726 0.108
4 Zn 0.618 0.274 0.892
5 Zn 0.726 0.618 0.344
6 Au 0.081 0.650 0.731
7 Au 0.350 0.081 0.431
8 Au 0.650 0.919 0.569
9 Au 0.919 0.350 0.269

Calculated values
mass density = 11.5 g/cm³
density of states at the Fermi level = 3.17 states/eV/cell
energy of formation = -0.291 eV per atom
energy = -2.84 eV/atom



DFT (GGA-PBE) results for a relaxed structure of SmZn4Au8.

Lattice parameters (Å, degrees): 7.455 7.455 7.455 57.27 57.27 57.27
Atoms (fractional coordinates):
1 Sm 0.000 0.000 0.000
2 Zn 0.000 0.500 0.500
3 Zn 0.500 0.000 0.500
4 Zn 0.500 0.500 0.000
5 Zn 0.500 0.500 0.500
6 Au 0.145 0.738 0.738
7 Au 0.253 0.253 0.253
8 Au 0.262 0.262 0.855
9 Au 0.262 0.855 0.262
10 Au 0.738 0.145 0.738
11 Au 0.738 0.738 0.145
12 Au 0.747 0.747 0.747
13 Au 0.855 0.262 0.262

Calculated values
mass density = 12.0 g/cm³
offset from the most stable computed form = 291.2 meV/atom
density of states at the Fermi level = 2.78 states/eV/cell
energy of formation = -0.062 eV per atom
energy = -2.83 eV/atom